Compound: Pr3Zn4Pb2
Source: the Alexandria database
Functional: PBE-GGA
Structure: optimized geometry

a = 11.5333 Å, b = 4.6717 Å, c = 8.9358 Å
α = 90.00°, β = 109.57°, γ = 90.00°
Space group C2/m (No. 12)
One atom of each set of equivalent atoms:
Pr: 0.0000 0.0000 0.0000
Pr: 0.1680 0.5000 0.6697
Zn: 0.0175 0.0000 0.3665
Zn: 0.2502 0.0000 0.9377
Pb: 0.1166 0.5000 0.2791

Density of states at the Fermi level = 4.7 states/eV/f.u.
DFT formation energy = -0.417 eV per atom
Mass density = 8.04 g cm⁻³